# TeWNO2

Crystalline TeWNO2 at its relaxed geometry (PBE+U, Alexandria).

Results
The density of states at the Fermi level is 0.40 states/eV per atom. The calculation puts the total energy at -6.040 eV per atom. As for the space group: No. 123.

a = 4.0617 Å, b = 4.0617 Å, c = 4.1048 Å
α = 90.00°, β = 90.00°, γ = 90.00°
Closest atoms and distances in Å follow each position.
Positions (direct):
Te1 0.5000 0.5000 0.5000  4 N 2.87, 8 O 2.89
W1 0.0000 0.0000 0.0000  4 O 2.03, 2 N 2.05
O1 0.0000 0.5000 0.0000  2 W 2.03
N1 0.0000 0.0000 0.5000  2 W 2.05
O2 0.5000 0.0000 0.0000  2 W 2.03